ZnCr2Pt4: optimized geometry, PBE.

Cell lengths 4.6015, 4.6015, 7.0836 Å; angles 71.05, 71.05, 90.00 degrees
Last column: nearest neighbours and their distance in Å.
Positions (direct):
Cr1 0.6126 0.6126 0.7749  1 Pt 2.36
Cr2 0.3874 0.3874 0.2251  1 Pt 2.36
Zn1 0.0000 0.0000 0.0000  6 Pt 2.30-2.52
Pt1 0.7999 0.7999 0.4001  1 Cr 2.36, 1 Zn 2.52
Pt2 0.2001 0.2001 0.5999  1 Cr 2.36, 1 Zn 2.52
Pt3 0.0000 0.5000 0.0000  2 Zn 2.30
Pt4 0.5000 0.0000 0.0000  2 Zn 2.30

Computed properties:
Calculated total energy = -5.707 eV per atom
Density = 11.8 g/cm³
Fermi-level density of states = 1.0640 states/eV/atom
Formation energy from the elements = 0.6763 eV per atom

---

Rb2TlIn3I6: optimized geometry, PBE.

Cell lengths 5.0839, 10.1747, 11.3660 Å; angles 102.72, 102.92, 90.00 degrees
Last column: nearest neighbours and their distance in Å.
Positions (direct):
Rb1 0.8342 0.6718 0.6684  6 I 3.66-3.70
Rb2 0.1658 0.3282 0.3316  6 I 3.66-3.70
Tl1 0.5000 0.0000 0.0000  6 I 3.56-3.61
In1 0.5000 0.5000 0.0000  6 I 3.51-3.59
In2 0.8326 0.1676 0.6653  6 I 3.51-3.62
In3 0.1674 0.8324 0.3347  6 I 3.51-3.62
I1 0.3350 0.9307 0.6701  3 In 3.51-3.62, 1 Tl 3.56, 2 Rb 3.66
I2 0.6627 0.5872 0.3255  3 In 3.51-3.55, 3 Rb 3.67-3.70
I3 0.6650 0.0693 0.3299  3 In 3.51-3.62, 1 Tl 3.56, 2 Rb 3.66
I4 0.9958 0.2494 0.9915  3 In 3.52-3.59, 2 Tl 3.61, 1 Rb 3.67
I5 0.0042 0.7506 0.0085  3 In 3.52-3.59, 2 Tl 3.61, 1 Rb 3.67
I6 0.3373 0.4128 0.6745  3 In 3.51-3.55, 3 Rb 3.67-3.70

Computed properties:
Calculated total energy = -2.647 eV per atom
Density = 4.4 g/cm³
Formation energy without anion corrections = -0.829 eV per atom
Fermi-level density of states = 0.0000 states/eV/atom

---

Among the records above, which one has the lowest calculated total energy? ZnCr2Pt4